No. 1
This record from Alexandria describes crystalline YIrF3 at its relaxed geometry. The functional is PBE-GGA.

Cell and atoms, written as extended XYZ:
```
5
Lattice="-2.272 2.054 -3.268 -3.827 -0.702 2.219 0.505 3.918 2.111" Properties=species:S:1:pos:R:3 pbc="T T T"
F 0.253 1.959 1.055
Ir -2.797 2.635 0.531
Y 0.000 0.000 0.000
F -1.913 -0.351 1.110
F -1.136 1.027 -1.634
```

Summary:
Total moment: 3.0 μB per cell
Energy relative to the elements, uncorrected: -1835 meV per atom
DOS at the Fermi energy: 4.8 states/eV per cell

No. 2
This record from Alexandria describes crystalline Tm3HfRh4 at its relaxed geometry. The functional is PBE-GGA.

Cell and atoms, written as extended XYZ:
```
8
Lattice="3.309 0.000 0.000 0.000 3.309 0.000 0.000 0.000 13.772" Properties=species:S:1:pos:R:3 pbc="T T T"
Hf 1.655 1.655 0.000
Tm 1.655 1.655 10.368
Tm 1.655 1.655 3.404
Rh 0.000 0.000 1.544
Rh 0.000 0.000 8.648
Tm 1.655 1.655 6.886
Rh 0.000 0.000 5.124
Rh 0.000 0.000 12.228
```

Summary:
Total moment: 0.0 μB per cell
DOS at the Fermi energy: 3.8 states/eV per cell
DFT formation energy: -0.958 eV per atom

No. 3
This record from Alexandria describes crystalline Mn3Cr2Si2 at its relaxed geometry. The functional is PBE-GGA.

Cell and atoms, written as extended XYZ:
```
7
Lattice="-3.326 0.829 -1.085 -3.003 -0.166 3.121 -0.387 6.683 0.337" Properties=species:S:1:pos:R:3 pbc="T T T"
Cr -3.727 4.329 2.819
Mn -4.810 6.368 1.739
Mn -1.695 3.259 1.729
Mn -1.906 0.979 0.635
Cr -2.989 3.017 -0.446
Si -2.802 5.293 0.720
Si -3.914 2.054 1.653
```

Summary:
Total moment: 3.5 μB per cell
Energy relative to the elements, uncorrected: -28 meV per atom
DOS at the Fermi energy: 6.3 states/eV per cell

No. 4
This record from Alexandria describes crystalline Rb2LaGaCo at its relaxed geometry. The functional is PBE-GGA.

Cell and atoms, written as extended XYZ:
```
5
Lattice="6.639 0.000 0.000 0.000 4.600 0.000 0.000 0.000 6.639" Properties=species:S:1:pos:R:3 pbc="T T T"
Ga 0.000 0.000 0.000
La 3.319 2.300 3.319
Rb 3.319 0.000 0.000
Co 0.000 2.300 0.000
Rb 0.000 0.000 3.319
```

Summary:
Total moment: 1.1 μB per cell
DOS at the Fermi energy: 8.9 states/eV per cell
DFT formation energy: 0.853 eV per atom

No. 5
This record from Alexandria describes crystalline AcPr4Dy2 at its relaxed geometry. The functional is PBE-GGA.

Cell and atoms, written as extended XYZ:
```
7
Lattice="6.231 1.716 -2.593 1.474 6.292 -2.593 -5.225 -5.431 10.553" Properties=species:S:1:pos:R:3 pbc="T T T"
Dy -1.727 -1.795 6.338
Dy 4.206 4.372 -0.972
Pr 0.003 0.003 3.563
Ac 0.000 0.000 0.000
Pr 0.737 3.146 -1.297
Pr 3.115 0.858 -1.297
Pr 2.476 2.574 1.803
```

Summary:
Total moment: 0.0 μB per cell
DOS at the Fermi energy: 12.5 states/eV per cell
DFT formation energy: 0.227 eV per atom

No. 6
This record from Alexandria describes crystalline Ac2Nd7Dy2 at its relaxed geometry. The functional is PBE-GGA.

Cell and atoms, written as extended XYZ:
```
11
Lattice="-1.028 8.037 4.017 -4.399 -4.237 1.104 0.929 -4.928 7.526" Properties=species:S:1:pos:R:3 pbc="T T T"
Nd -3.306 -3.375 10.462
Nd -1.193 2.248 2.184
Nd -3.251 -5.079 4.140
Dy -2.223 -1.400 3.219
Dy -2.276 0.272 9.428
Nd 0.000 0.000 0.000
Nd -1.750 1.036 5.897
Ac -1.309 4.466 4.976
Ac -3.190 -5.593 7.670
Nd -1.248 3.951 8.506
Nd -2.749 -2.163 6.750
```

Summary:
Total moment: 0.0 μB per cell
DOS at the Fermi energy: 16.3 states/eV per cell
DFT formation energy: 0.153 eV per atom

No. 7
This record from Alexandria describes crystalline HoTlZn at its relaxed geometry. The functional is PBE-GGA.

Cell and atoms, written as extended XYZ:
```
6
Lattice="4.699 0.000 0.000 2.349 5.455 -0.393 2.349 -0.296 5.461" Properties=species:S:1:pos:R:3 pbc="T T T"
Tl 2.349 0.314 2.438
Ho 4.699 0.541 4.609
Tl 7.048 2.715 4.797
Zn 4.699 0.871 1.113
Zn 4.699 4.031 4.216
Ho 2.349 3.434 1.664
```

Summary:
Total moment: 0.0 μB per cell
DOS at the Fermi energy: 2.4 states/eV per cell
DFT formation energy: -0.288 eV per atom

No. 8
This record from Alexandria describes crystalline CaPuMgPb at its relaxed geometry. The functional is PBE-GGA.

Cell and atoms, written as extended XYZ:
```
4
Lattice="-4.723 -2.753 -0.241 -1.775 -2.776 4.369 -4.354 1.786 2.793" Properties=species:S:1:pos:R:3 pbc="T T T"
Pu -8.139 -2.807 5.191
Ca -2.713 -0.936 1.730
Mg -5.426 -1.871 3.461
Pb 0.000 0.000 0.000
```

Summary:
Total moment: 6.2 μB per cell
DOS at the Fermi energy: 11.1 states/eV per cell
DFT formation energy: -0.135 eV per atom

No. 9
This record from Alexandria describes crystalline Pm2Sm3Sb3 at its relaxed geometry. The functional is PBE-GGA.

Cell and atoms, written as extended XYZ:
```
16
Lattice="-3.123 -3.148 4.689 -1.877 -6.880 -5.869 7.747 -0.200 5.025" Properties=species:S:1:pos:R:3 pbc="T T T"
Sm 2.067 -7.680 2.883
Sm 5.039 -0.937 4.947
Sm 0.679 -2.548 0.962
Sb 2.821 -5.131 0.655
Sm -2.191 -5.956 -3.237
Sb -0.074 -5.097 3.191
Pm 4.539 -2.427 1.394
Pm -0.231 -6.228 0.107
Sb -3.494 -6.582 -0.084
Sm -2.809 -4.072 2.057
Pm 2.977 -4.001 3.738
Sb 2.213 -0.864 3.114
Sb -1.506 -3.446 -1.096
Pm 1.331 -4.654 -2.237
Sb 2.410 -2.484 6.600
Sm -0.416 -2.411 4.767
```

Summary:
Total moment: 1.1 μB per cell
Energy relative to the elements, uncorrected: -965 meV per atom
DOS at the Fermi energy: 16.9 states/eV per cell

No. 10
This record from Alexandria describes crystalline RbIn4Sn2 at its relaxed geometry. The functional is PBE-GGA.

Cell and atoms, written as extended XYZ:
```
7
Lattice="5.164 0.000 1.375 2.399 4.573 1.375 0.146 0.088 9.837" Properties=species:S:1:pos:R:3 pbc="T T T"
Rb 0.000 0.000 0.000
In 6.566 3.970 6.491
In 3.443 2.082 7.838
Sn 5.788 3.500 9.413
In 1.142 0.690 6.096
In 4.265 2.579 4.748
Sn 1.920 1.161 3.174
```

Summary:
Total moment: 0.0 μB per cell
DOS at the Fermi energy: 4.7 states/eV per cell
DFT formation energy: -0.043 eV per atom

No. 11
This record from Alexandria describes crystalline ErCo2B2 at its relaxed geometry. The functional is PBE-GGA.

Cell and atoms, written as extended XYZ:
```
5
Lattice="5.249 0.005 0.000 2.865 4.399 0.000 -4.057 -2.202 2.499" Properties=species:S:1:pos:R:3 pbc="T T T"
B 5.245 2.847 0.000
B 2.869 1.557 0.000
Co 1.432 2.199 1.250
Co 2.625 0.003 1.250
Er 0.000 0.000 0.000
```

Summary:
Total moment: 0.0 μB per cell
DOS at the Fermi energy: 1.3 states/eV per cell
DFT formation energy: -0.582 eV per atom

No. 12
This record from Alexandria describes crystalline Fe2HgP at its relaxed geometry. The functional is PBE-GGA.

Cell and atoms, written as extended XYZ:
```
4
Lattice="-1.317 1.023 -2.493 2.072 -1.390 -1.665 -3.944 -5.614 -0.221" Properties=species:S:1:pos:R:3 pbc="T T T"
Fe -3.892 -5.541 -0.218
Fe -0.398 -1.287 -2.122
P -2.962 -4.938 -2.266
Hg -1.852 -2.636 -0.104
```

Summary:
Total moment: 4.5 μB per cell
DOS at the Fermi energy: 3.3 states/eV per cell
DFT formation energy: 0.121 eV per atom

No. 13
This record from Alexandria describes crystalline AlCuAu3 at its relaxed geometry. The functional is PBE-GGA.

Cell and atoms, written as extended XYZ:
```
5
Lattice="-0.624 -3.780 2.895 3.714 -2.213 -2.089 2.978 1.968 3.212" Properties=species:S:1:pos:R:3 pbc="T T T"
Cu 3.034 -2.012 2.009
Au 1.857 -1.106 -1.044
Au -0.312 -1.890 1.447
Al 0.000 0.000 0.000
Au 1.489 0.984 1.606
```

Summary:
Total moment: 0.0 μB per cell
DOS at the Fermi energy: 2.4 states/eV per cell
DFT formation energy: 0.514 eV per atom

No. 14
This record from Alexandria describes crystalline TePtN2 at its relaxed geometry. The functional is PBE-GGA.

Cell and atoms, written as extended XYZ:
```
4
Lattice="1.913 0.000 6.273 -0.957 1.657 6.273 -0.957 -1.657 6.273" Properties=species:S:1:pos:R:3 pbc="T T T"
N 0.000 0.000 16.840
Pt 0.000 0.000 0.000
Te 0.000 0.000 9.410
N 0.000 0.000 1.980
```

Summary:
Total moment: 0.0 μB per cell
Energy relative to the elements, uncorrected: 943 meV per atom
DOS at the Fermi energy: 1.7 states/eV per cell

No. 15
This record from Alexandria describes crystalline K3SiN at its relaxed geometry. The functional is PBE-GGA.

Cell and atoms, written as extended XYZ:
```
5
Lattice="5.501 0.000 0.000 0.000 5.501 0.000 0.000 0.000 5.501" Properties=species:S:1:pos:R:3 pbc="T T T"
K 0.000 0.000 2.751
Si 2.751 2.751 2.751
K 0.000 2.751 0.000
N 0.000 0.000 0.000
K 2.751 0.000 0.000
```

Summary:
Total moment: 4.0 μB per cell
Energy relative to the elements, uncorrected: 721 meV per atom
DOS at the Fermi energy: 2.3 states/eV per cell

No. 16
This record from Alexandria describes crystalline FePb2Br at its relaxed geometry. The functional is PBE-GGA.

Cell and atoms, written as extended XYZ:
```
4
Lattice="3.540 -0.030 0.000 -1.792 3.053 0.000 0.000 0.000 10.129" Properties=species:S:1:pos:R:3 pbc="T T T"
Fe 0.874 1.512 7.466
Br 0.000 0.000 5.724
Pb 0.874 1.512 2.452
Pb 0.000 0.000 9.681
```

Summary:
Total moment: 3.3 μB per cell
Energy relative to the elements, uncorrected: 194 meV per atom
DOS at the Fermi energy: 2.7 states/eV per cell

No. 17
This record from Alexandria describes crystalline InOs2Pt at its relaxed geometry. The functional is PBE-GGA.

Cell and atoms, written as extended XYZ:
```
4
Lattice="3.865 0.000 0.000 0.000 2.849 0.001 0.000 2.849 5.876" Properties=species:S:1:pos:R:3 pbc="T T T"
Pt 0.000 2.852 2.932
In 1.932 4.275 4.360
Os 0.000 2.848 0.219
Os 1.932 1.422 1.305
```

Summary:
Total moment: 0.0 μB per cell
DOS at the Fermi energy: 2.2 states/eV per cell
DFT formation energy: 0.166 eV per atom

No. 18
This record from Alexandria describes crystalline La2Tb3Pr3 at its relaxed geometry. The functional is PBE-GGA.

Cell and atoms, written as extended XYZ:
```
16
Lattice="3.653 0.000 0.000 -1.827 8.922 0.000 0.000 0.000 17.435" Properties=species:S:1:pos:R:3 pbc="T T T"
Tb 1.827 8.827 10.476
Pr 1.827 2.625 8.917
Tb 0.000 0.095 1.759
La 0.000 3.932 2.649
Tb 0.000 7.497 13.076
La 0.000 3.932 6.069
Tb 0.000 0.095 6.959
La 1.827 4.989 11.367
Pr 0.000 7.008 4.359
La 1.827 4.989 14.786
Tb 1.827 8.827 15.677
Tb 1.827 1.425 4.359
Pr 1.827 1.914 13.076
Pr 1.827 2.625 17.236
Pr 0.000 6.296 8.519
Pr 0.000 6.296 0.199
```

Summary:
Total moment: 0.0 μB per cell
DOS at the Fermi energy: 23.6 states/eV per cell
DFT formation energy: 0.118 eV per atom

No. 19
This record from Alexandria describes crystalline CeEr2Re at its relaxed geometry. The functional is PBE-GGA.

Cell and atoms, written as extended XYZ:
```
4
Lattice="-1.750 0.759 2.494 -2.177 -1.999 1.057 6.312 -5.126 7.965" Properties=species:S:1:pos:R:3 pbc="T T T"
Er -2.098 -2.372 5.178
Re 0.000 0.000 0.000
Er 4.483 -3.995 6.338
Ce 1.192 -3.183 5.758
```

Summary:
Total moment: 0.0 μB per cell
DOS at the Fermi energy: 5.4 states/eV per cell
DFT formation energy: 0.726 eV per atom

No. 20
This record from Alexandria describes crystalline Pr4Sb3O2 at its relaxed geometry. The functional is PBE-GGA.

Cell and atoms, written as extended XYZ:
```
9
Lattice="-3.577 0.033 2.309 3.905 -5.963 2.208 2.029 8.883 3.017" Properties=species:S:1:pos:R:3 pbc="T T T"
O -0.229 1.033 3.556
Pr 1.316 2.185 2.007
Sb 0.000 0.000 0.000
Pr -0.732 -1.109 2.807
O 2.586 1.919 3.979
Sb 2.290 -1.978 3.577
Sb 0.066 4.931 3.958
Pr 1.041 0.767 5.527
Pr 3.089 4.061 4.727
```

Summary:
Total moment: 0.0 μB per cell
Energy relative to the elements, uncorrected: -1863 meV per atom
DOS at the Fermi energy: 3.6 states/eV per cell

No. 21
This record from Alexandria describes crystalline Cs2GeTe at its relaxed geometry. The functional is PBE-GGA.

Cell and atoms, written as extended XYZ:
```
16
Lattice="-8.687 -4.840 -3.181 6.283 -5.959 -8.092 -1.344 -2.496 7.470" Properties=species:S:1:pos:R:3 pbc="T T T"
Cs 2.597 -8.816 -1.716
Ge -2.679 -5.903 -2.392
Cs 0.516 -3.671 -1.197
Ge -0.655 -2.433 3.937
Cs -0.813 -5.986 2.231
Te 3.370 -5.352 -3.078
Te -3.092 -4.223 -0.248
Cs 2.039 -7.553 -5.836
Cs -4.264 -9.624 -2.606
Te -7.118 -7.944 -0.724
Ge -3.093 -10.863 -7.740
Ge -1.069 -7.393 -1.411
Te -0.657 -9.073 -3.555
Cs -2.935 -7.310 -6.034
Cs -6.345 -4.480 -2.087
Cs -5.787 -5.743 2.033
```

Summary:
Total moment: 0.0 μB per cell
Energy relative to the elements, uncorrected: -540 meV per atom

No. 22
This record from Alexandria describes crystalline ZrSiN at its relaxed geometry. The functional is PBE-GGA.

Cell and atoms, written as extended XYZ:
```
12
Lattice="-2.471 3.815 2.744 -0.875 -2.109 2.145 11.165 -1.530 3.048" Properties=species:S:1:pos:R:3 pbc="T T T"
Zr 8.645 -0.494 3.039
N 5.880 1.021 5.689
Zr -1.038 1.261 3.104
Zr 4.982 1.550 3.556
N 4.534 -0.638 3.509
N -0.612 1.182 0.913
N 0.735 2.841 3.093
Si 2.075 1.820 2.636
Zr 2.625 -0.783 2.587
Si 5.932 -1.608 3.125
Si 7.221 0.000 5.232
Si 0.786 0.211 0.528
```

Summary:
Total moment: 0.0 μB per cell
Energy relative to the elements, uncorrected: -823 meV per atom
DOS at the Fermi energy: 2.4 states/eV per cell

No. 23
This record from Alexandria describes crystalline SrSi4Sb at its relaxed geometry. The functional is PBE-GGA.

Cell and atoms, written as extended XYZ:
```
6
Lattice="0.000 3.919 3.919 3.919 0.000 3.919 3.919 3.919 0.000" Properties=species:S:1:pos:R:3 pbc="T T T"
Si 4.957 4.957 2.880
Si 4.957 2.880 4.957
Sb 0.000 0.000 0.000
Sr 5.878 5.878 5.878
Si 2.880 2.880 2.880
Si 2.880 4.957 4.957
```

Summary:
Total moment: 0.0 μB per cell
Energy relative to the elements, uncorrected: 170 meV per atom
DOS at the Fermi energy: 4.1 states/eV per cell

No. 24
This record from Alexandria describes crystalline SmAlZn2Au4 at its relaxed geometry. The functional is PBE-GGA.

Cell and atoms, written as extended XYZ:
```
8
Lattice="4.509 0.000 0.000 2.254 3.905 0.000 2.254 1.302 8.580" Properties=species:S:1:pos:R:3 pbc="T T T"
Zn 6.763 3.905 6.389
Zn 2.254 1.302 2.191
Al 4.509 2.603 4.290
Au 4.509 2.603 1.637
Sm 0.000 0.000 0.000
Au 6.763 3.905 3.438
Au 4.509 2.603 6.943
Au 2.254 1.302 5.142
```

Summary:
Total moment: 0.0 μB per cell
DOS at the Fermi energy: 2.8 states/eV per cell
DFT formation energy: -0.469 eV per atom

No. 25
This record from Alexandria describes crystalline Li2MnCr at its relaxed geometry. The functional is PBE-GGA.

Cell and atoms, written as extended XYZ:
```
4
Lattice="2.985 0.000 0.000 0.000 2.985 0.000 0.000 0.000 6.985" Properties=species:S:1:pos:R:3 pbc="T T T"
Mn 0.000 0.000 3.836
Li 0.000 0.000 6.822
Cr 1.492 1.492 4.875
Li 1.492 1.492 1.931
```

Summary:
Total moment: 0.1 μB per cell
DOS at the Fermi energy: 3.0 states/eV per cell
DFT formation energy: 0.283 eV per atom

No. 26
This record from Alexandria describes crystalline Ti2ReAg at its relaxed geometry. The functional is PBE-GGA.

Cell and atoms, written as extended XYZ:
```
4
Lattice="-2.676 1.430 -0.907 -1.546 -1.371 2.400 1.423 5.085 3.821" Properties=species:S:1:pos:R:3 pbc="T T T"
Ag -1.400 2.573 2.657
Ti 0.318 1.136 0.854
Ti 1.105 3.949 2.967
Re -2.111 0.030 0.746
```

Summary:
Total moment: 0.0 μB per cell
DOS at the Fermi energy: 5.0 states/eV per cell
DFT formation energy: -0.210 eV per atom